The following is a PBE calculation of a relaxed GaIBr crystal, from the Alexandria database.

Values from the calculation:
SG	No. 156
energy	-2.481	eV per atom
DOS at the Fermi energy	2.62	states/eV/cell

Lattice parameters (Å, degrees): 4.0357 4.0357 7.1456 90.00 90.00 120.00
With the nearest neighbours (Å) after each atom.
Fractional positions:
Ga 0.0000 0.0000 0.0000  3 Br 2.83, 3 I 2.95
I 0.6667 0.3333 0.2522  3 Ga 2.95
Br 0.3333 0.6667 0.7744  3 Ga 2.83

The following is a PBE calculation of a relaxed GaIBr2 crystal, from the Alexandria database.

Values from the calculation:
SG	No. 14
energy	-2.670	eV per atom
DOS at the Fermi energy	0.00	states/eV/cell

Lattice parameters (Å, degrees): 6.7916 6.1314 18.6054 90.00 111.38 90.00
With the nearest neighbours (Å) after each atom.
Fractional positions:
Ga 0.0908 0.0007 0.3405  2 Br 2.30
Ga 0.0908 0.4993 0.8405  2 Br 2.30
Ga 0.9092 0.5007 0.1595  2 Br 2.30
Ga 0.9092 0.9993 0.6595  2 Br 2.30
I 0.2289 0.2491 0.7497  2 Ga 2.69
I 0.2289 0.2509 0.2497  2 Ga 2.69
I 0.7711 0.7491 0.7503  2 Ga 2.69
I 0.7711 0.7509 0.2503  2 Ga 2.69
Br 0.0683 0.7146 0.0944  1 Ga 2.30
Br 0.0683 0.7854 0.5944  1 Ga 2.30
Br 0.3802 0.7128 0.9051  1 Ga 2.30
Br 0.3802 0.7872 0.4051  1 Ga 2.30
Br 0.6198 0.2128 0.5949  1 Ga 2.30
Br 0.6198 0.2872 0.0949  1 Ga 2.30
Br 0.9317 0.2146 0.4056  1 Ga 2.30
Br 0.9317 0.2854 0.9056  1 Ga 2.30

The following is a PBE calculation of a relaxed Ga2IBr3 crystal, from the Alexandria database.

Values from the calculation:
SG	No. 2
energy	-2.687	eV per atom

Lattice parameters (Å, degrees): 3.9597 10.9419 12.5806 104.09 90.81 90.17
With the nearest neighbours (Å) after each atom.
Fractional positions:
Ga 0.0046 0.4720 0.1048  2 Br 2.68, 1 Ga 2.85
Ga 0.4877 0.8948 0.7034  3 Br 2.29-2.54, 1 I 2.52
Ga 0.5123 0.1052 0.2967  3 Br 2.29-2.54, 1 I 2.52
Ga 0.9954 0.5280 0.8952  2 Br 2.68, 1 Ga 2.85
I 0.4942 0.7984 0.8661  1 Ga 2.52
I 0.5058 0.2016 0.1339  1 Ga 2.52
Br 0.0101 0.9560 0.2747  2 Ga 2.54
Br 0.4789 0.7737 0.5274  1 Ga 2.29
Br 0.4897 0.3802 0.7921  2 Ga 2.68
Br 0.5103 0.6198 0.2079  2 Ga 2.68
Br 0.5211 0.2263 0.4726  1 Ga 2.29
Br 0.9899 0.0440 0.7253  2 Ga 2.54

The following is a PBE calculation of a relaxed Ga3I2Br2 crystal, from the Alexandria database.

Values from the calculation:
SG	No. 12
energy	-2.578	eV per atom
DOS at the Fermi energy	4.41	states/eV/cell

Lattice parameters (Å, degrees): 8.1899 8.1899 8.0108 100.41 100.41 28.55
With the nearest neighbours (Å) after each atom.
Fractional positions:
Ga 0.0000 0.0000 0.0000  4 I 3.02
Ga 0.1382 0.1382 0.5127  3 Br 2.77-2.92
Ga 0.8618 0.8618 0.4873  3 Br 2.77-2.92
I 0.4378 0.4378 0.2302  4 Ga 3.02-3.27
I 0.5622 0.5622 0.7698  4 Ga 3.02-3.27
Br 0.3029 0.3029 0.7019  3 Ga 2.77-2.92
Br 0.6971 0.6971 0.2981  3 Ga 2.77-2.92

The following is a PBE calculation of a relaxed GaIBr crystal, from the Alexandria database.

Values from the calculation:
SG	No. 2
energy	-2.685	eV per atom
DOS at the Fermi energy	0.00	states/eV/cell

Lattice parameters (Å, degrees): 4.1187 7.0624 9.2202 103.99 102.40 90.32
With the nearest neighbours (Å) after each atom.
Fractional positions:
Ga 0.0677 0.0153 0.1390  1 Br 2.32, 1 Ga 2.46
Ga 0.9323 0.9847 0.8610  1 Br 2.32, 1 Ga 2.46
I 0.4009 0.2024 0.7905  2 Ga 2.74
I 0.5991 0.7976 0.2095  2 Ga 2.74
Br 0.1557 0.3148 0.3186  1 Ga 2.32
Br 0.8443 0.6852 0.6814  1 Ga 2.32

The following is a PBE calculation of a relaxed Ga3I3Br2 crystal, from the Alexandria database.

Values from the calculation:
SG	No. 63
energy	-2.544	eV per atom
DOS at the Fermi energy	4.76	states/eV/cell

Lattice parameters (Å, degrees): 8.8163 8.8163 18.4433 90.00 90.00 154.29
With the nearest neighbours (Å) after each atom.
Fractional positions:
Ga 0.0236 0.9764 0.5735  2 Br 2.67, 1 Ga 2.83
Ga 0.0236 0.9764 0.9265  2 Br 2.67, 1 Ga 2.83
Ga 0.1217 0.8783 0.2500  5 I 2.62-2.81
Ga 0.8783 0.1217 0.7500  5 I 2.62-2.81
Ga 0.9764 0.0236 0.0735  2 Br 2.67, 1 Ga 2.83
Ga 0.9764 0.0236 0.4265  2 Br 2.67, 1 Ga 2.83
I 0.0304 0.9696 0.7500  1 Ga 2.62
I 0.3413 0.6587 0.6463  2 Ga 2.81
I 0.3413 0.6587 0.8537  2 Ga 2.81
I 0.6587 0.3413 0.1463  2 Ga 2.81
I 0.6587 0.3413 0.3537  2 Ga 2.81
I 0.9696 0.0304 0.2500  1 Ga 2.62
Br 0.3714 0.6286 0.0707  2 Ga 2.67
Br 0.3714 0.6286 0.4293  2 Ga 2.67
Br 0.6286 0.3714 0.5707  2 Ga 2.67
Br 0.6286 0.3714 0.9293  2 Ga 2.67

The following is a PBE calculation of a relaxed Ga5I12Br3 crystal, from the Alexandria database.

Values from the calculation:
SG	No. 230
energy	-2.121	eV per atom
DOS at the Fermi energy	107.50	states/eV/cell

Lattice parameters (Å, degrees): 16.3674 16.3674 16.3674 109.47 109.47 109.47
With the nearest neighbours (Å) after each atom.
Fractional positions:
Ga 0.0000 0.0000 0.0000  6 I 3.30
Ga 0.0000 0.0000 0.5000  6 I 3.30
Ga 0.0000 0.5000 0.0000  6 I 3.30
Ga 0.0000 0.5000 0.5000  6 I 3.30
Ga 0.1250 0.7500 0.8750  4 I 2.60
Ga 0.1250 0.8750 0.2500  4 I 2.60
Ga 0.2500 0.1250 0.8750  4 I 2.60
Ga 0.2500 0.6250 0.3750  4 I 2.60
Ga 0.3750 0.2500 0.6250  4 I 2.60
Ga 0.3750 0.6250 0.7500  4 I 2.60
Ga 0.5000 0.0000 0.0000  6 I 3.30
Ga 0.5000 0.0000 0.5000  6 I 3.30
Ga 0.5000 0.5000 0.0000  6 I 3.30
Ga 0.5000 0.5000 0.5000  6 I 3.30
Ga 0.6250 0.3750 0.2500  4 I 2.60
Ga 0.6250 0.7500 0.3750  4 I 2.60
Ga 0.7500 0.3750 0.6250  4 I 2.60
Ga 0.7500 0.8750 0.1250  4 I 2.60
Ga 0.8750 0.1250 0.7500  4 I 2.60
Ga 0.8750 0.2500 0.1250  4 I 2.60
I 0.0178 0.2186 0.1142  1 Ga 2.60
I 0.0178 0.2991 0.9036  1 Ga 2.60
I 0.0964 0.6142 0.3956  1 Ga 2.60
I 0.0964 0.9822 0.7009  1 Ga 2.60
I 0.1044 0.7186 0.7009  1 Ga 2.60
I 0.1044 0.8858 0.4036  1 Ga 2.60
I 0.1142 0.0178 0.2186  1 Ga 2.60
I 0.1142 0.5964 0.8956  1 Ga 2.60
I 0.2009 0.2186 0.6044  1 Ga 2.60
I 0.2009 0.4822 0.5964  1 Ga 2.60
I 0.2186 0.1142 0.0178  1 Ga 2.60
I 0.2186 0.6044 0.2009  1 Ga 2.60
I 0.2814 0.2991 0.8956  1 Ga 2.60
I 0.2814 0.4822 0.3858  1 Ga 2.60
I 0.2991 0.8956 0.2814  1 Ga 2.60
I 0.2991 0.9036 0.0178  1 Ga 2.60
I 0.3858 0.2814 0.4822  1 Ga 2.60
I 0.3858 0.6044 0.9036  1 Ga 2.60
I 0.3956 0.0964 0.6142  1 Ga 2.60
I 0.3956 0.7991 0.7814  1 Ga 2.60
I 0.4036 0.1044 0.8858  1 Ga 2.60
I 0.4036 0.7991 0.5178  1 Ga 2.60
I 0.4822 0.3858 0.2814  1 Ga 2.60
I 0.4822 0.5964 0.2009  1 Ga 2.60
I 0.5178 0.4036 0.7991  1 Ga 2.60
I 0.5178 0.6142 0.7186  1 Ga 2.60
I 0.5964 0.2009 0.4822  1 Ga 2.60
I 0.5964 0.8956 0.1142  1 Ga 2.60
I 0.6044 0.2009 0.2186  1 Ga 2.60
I 0.6044 0.9036 0.3858  1 Ga 2.60
I 0.6142 0.3956 0.0964  1 Ga 2.60
I 0.6142 0.7186 0.5178  1 Ga 2.60
I 0.7009 0.0964 0.9822  1 Ga 2.60
I 0.7009 0.1044 0.7186  1 Ga 2.60
I 0.7186 0.5178 0.6142  1 Ga 2.60
I 0.7186 0.7009 0.1044  1 Ga 2.60
I 0.7814 0.3956 0.7991  1 Ga 2.60
I 0.7814 0.8858 0.9822  1 Ga 2.60
I 0.7991 0.5178 0.4036  1 Ga 2.60
I 0.7991 0.7814 0.3956  1 Ga 2.60
I 0.8858 0.4036 0.1044  1 Ga 2.60
I 0.8858 0.9822 0.7814  1 Ga 2.60
I 0.8956 0.1142 0.5964  1 Ga 2.60
I 0.8956 0.2814 0.2991  1 Ga 2.60
I 0.9036 0.0178 0.2991  1 Ga 2.60
I 0.9036 0.3858 0.6044  1 Ga 2.60
I 0.9822 0.7009 0.0964  1 Ga 2.60
I 0.9822 0.7814 0.8858  1 Ga 2.60
Br 0.1250 0.2500 0.3750  8 I 3.71-3.81
Br 0.1250 0.3750 0.7500  8 I 3.71-3.81
Br 0.2500 0.3750 0.1250  8 I 3.71-3.81
Br 0.2500 0.8750 0.6250  8 I 3.71-3.81
Br 0.3750 0.1250 0.2500  8 I 3.71-3.81
Br 0.3750 0.7500 0.1250  8 I 3.71-3.81
Br 0.6250 0.2500 0.8750  8 I 3.71-3.81
Br 0.6250 0.8750 0.7500  8 I 3.71-3.81
Br 0.7500 0.1250 0.3750  8 I 3.71-3.81
Br 0.7500 0.6250 0.8750  8 I 3.71-3.81
Br 0.8750 0.6250 0.2500  8 I 3.71-3.81
Br 0.8750 0.7500 0.6250  8 I 3.71-3.81

The following is a PBE calculation of a relaxed GaIBr crystal, from the Alexandria database.

Values from the calculation:
SG	No. 1
energy	-2.664	eV per atom
DOS at the Fermi energy	0.00	states/eV/cell

Lattice parameters (Å, degrees): 5.6951 6.0143 8.9687 72.46 73.09 73.14
With the nearest neighbours (Å) after each atom.
Fractional positions:
Ga 0.0000 0.0000 0.0000  1 Ga 2.49, 2 I 2.51-2.72, 1 Br 2.57
Ga 0.2817 0.2811 0.8516  2 Br 2.33-2.52, 1 Ga 2.49
I 0.0125 0.7337 0.2751  1 Ga 2.51
I 0.0190 0.7460 0.7900  2 Ga 2.72-2.74
Br 0.5380 0.2664 0.5981  1 Ga 2.33
Br 0.5492 0.2564 0.0382  2 Ga 2.52-2.57

The following is a PBE calculation of a relaxed GaI3Br crystal, from the Alexandria database.

Values from the calculation:
SG	No. 14
energy	-2.212	eV per atom
DOS at the Fermi energy	6.88	states/eV/cell

Lattice parameters (Å, degrees): 9.3520 13.0585 12.0780 90.00 123.98 90.00
With the nearest neighbours (Å) after each atom.
Fractional positions:
Ga 0.0260 0.1337 0.4710  4 I 2.50-2.72
Ga 0.0260 0.3663 0.9710  4 I 2.50-2.72
Ga 0.9740 0.6337 0.0290  4 I 2.50-2.72
Ga 0.9740 0.8663 0.5290  4 I 2.50-2.72
I 0.0955 0.0292 0.6903  2 Ga 2.67-2.72
I 0.0955 0.4708 0.1903  2 Ga 2.67-2.72
I 0.2269 0.7426 0.5963  1 Ga 2.59
I 0.2269 0.7574 0.0963  1 Ga 2.59
I 0.3009 0.2045 0.5126  1 Ga 2.50
I 0.3009 0.2955 0.0126  1 Ga 2.50
I 0.6991 0.7045 0.9874  1 Ga 2.50
I 0.6991 0.7955 0.4874  1 Ga 2.50
I 0.7731 0.2426 0.9037  1 Ga 2.59
I 0.7731 0.2574 0.4037  1 Ga 2.59
I 0.9045 0.5292 0.8097  2 Ga 2.67-2.72
I 0.9045 0.9708 0.3097  2 Ga 2.67-2.72
Br 0.2201 0.7428 0.3448  2 I 3.00-3.04
Br 0.2201 0.7572 0.8448  2 I 3.00-3.04
Br 0.7799 0.2428 0.1552  2 I 3.00-3.04
Br 0.7799 0.2572 0.6552  2 I 3.00-3.04

The following is a PBE calculation of a relaxed GaIBr2 crystal, from the Alexandria database.

Values from the calculation:
SG	No. 225
energy	-1.868	eV per atom
DOS at the Fermi energy	3.85	states/eV/cell

Lattice parameters (Å, degrees): 5.6080 5.6080 5.6080 60.00 60.00 60.00
With the nearest neighbours (Å) after each atom.
Fractional positions:
Ga 0.0000 0.0000 0.0000  8 Br 3.43
I 0.5000 0.5000 0.5000  8 Br 3.43
Br 0.2500 0.2500 0.2500  4 I 3.43, 4 Ga 3.43
Br 0.7500 0.7500 0.7500  4 I 3.43, 4 Ga 3.43

Number 1: formation energy (no corrections) -397.3 meV/atom. Number 2: formation energy (no corrections) -688.8 meV/atom. Number 3: formation energy (no corrections) -583.1 meV/atom. Number 4: formation energy (no corrections) -359.5 meV/atom. Number 5: formation energy (no corrections) -601.8 meV/atom. Number 6: formation energy (no corrections) -409.5 meV/atom. Number 7: formation energy (no corrections) -183.3 meV/atom. Number 8: formation energy (no corrections) -581.2 meV/atom. Number 9: formation energy (no corrections) -341.9 meV/atom. Number 10: formation energy (no corrections) 113.0 meV/atom.